[1]
Density functional theory data (GGA-PBE) for a relaxed MnAlSb2 crystal.

Results
The value obtained for the uncorrected formation energy is 0.272 eV/atom.

Lattice parameters (Å, degrees): 4.965 4.965 3.857 99.30 99.30 104.25
Atoms (fractional coordinates):
Mn: 0.000 0.000 0.000
Al: 0.500 0.500 0.000
Sb: 0.000 0.500 0.500
Sb: 0.500 0.000 0.500

---

[2]
Density functional theory data (GGA-PBE) for a relaxed MnAl4Sb crystal.

Results
The value obtained for the uncorrected formation energy is 0.225 eV/atom.

Lattice parameters (Å, degrees): 5.352 5.352 5.352 60.00 60.00 60.00
Atoms (fractional coordinates):
Mn: 0.000 0.000 0.000
Al: 0.374 0.374 0.374
Al: 0.374 0.374 0.879
Al: 0.374 0.879 0.374
Al: 0.879 0.374 0.374
Sb: 0.750 0.750 0.750

---

[3]
Density functional theory data (GGA-PBE) for a relaxed MnAlSb2 crystal.

Results
The value obtained for the uncorrected formation energy is 0.202 eV/atom.

Lattice parameters (Å, degrees): 6.666 6.666 6.666 147.30 145.35 48.38
Atoms (fractional coordinates):
Mn: 0.000 0.000 0.000
Al: 0.638 0.138 0.500
Sb: 0.199 0.699 0.500
Sb: 0.428 0.428 0.000

---

[4]
Density functional theory data (GGA-PBE) for a relaxed MnAlSb2 crystal.

Results
The value obtained for the uncorrected formation energy is 0.115 eV/atom.

Lattice parameters (Å, degrees): 7.270 7.270 7.270 30.89 30.89 30.89
Atoms (fractional coordinates):
Mn: 0.000 0.000 0.000
Al: 0.500 0.500 0.500
Sb: 0.256 0.256 0.256
Sb: 0.744 0.744 0.744